First-principles (GGA-PBE) data for a relaxed structure of BaTaSb, as listed in Alexandria.

Calculated values
Uncorrected formation energy = 0.299 eV per atom

Cell: 4.807 4.807 5.087 Å, 90.00 90.00 120.00°
Fractional coordinates of all 3 atoms:
Ba  0.000  0.000  0.000
Ta  0.667  0.333  0.500
Sb  0.333  0.667  0.500

First-principles (GGA-PBE) data for a relaxed structure of Ti2TlI, as listed in Alexandria.

Calculated values
Uncorrected formation energy = 0.569 eV per atom

Cell: 4.429 4.429 19.845 Å, 90.00 90.00 90.00°
Fractional coordinates of all 16 atoms:
Ti  0.244  0.250  0.125
Ti  0.250  0.744  0.375
Ti  0.250  0.756  0.875
Ti  0.256  0.250  0.625
Ti  0.744  0.750  0.625
Ti  0.750  0.244  0.875
Ti  0.750  0.256  0.375
Ti  0.756  0.750  0.125
Tl  0.000  0.000  0.000
Tl  0.000  0.500  0.250
Tl  0.500  0.000  0.750
Tl  0.500  0.500  0.500
I  0.000  0.000  0.500
I  0.000  0.500  0.750
I  0.500  0.000  0.250
I  0.500  0.500  0.000

First-principles (GGA-PBE) data for a relaxed structure of YAl2S4, as listed in Alexandria.

Calculated values
Uncorrected formation energy = -1.110 eV per atom

Cell: 7.661 7.661 6.042 Å, 90.00 90.00 90.00°
Fractional coordinates of all 14 atoms:
Y  0.000  0.000  0.000
Y  0.500  0.500  0.500
Al  0.000  0.500  0.250
Al  0.000  0.500  0.750
Al  0.500  0.000  0.250
Al  0.500  0.000  0.750
S  0.147  0.668  0.000
S  0.168  0.353  0.500
S  0.332  0.147  0.000
S  0.353  0.832  0.500
S  0.647  0.168  0.500
S  0.668  0.853  0.000
S  0.832  0.647  0.500
S  0.853  0.332  0.000

First-principles (GGA-PBE) data for a relaxed structure of InAs2HPd, as listed in Alexandria.

Calculated values
Energy = -2.844 eV/atom

Cell: 5.223 5.223 5.149 Å, 90.00 90.00 90.00°
Fractional coordinates of all 5 atoms:
In  0.000  0.000  0.000
As  0.000  0.500  0.000
As  0.500  0.000  0.000
H  0.500  0.500  0.500
Pd  0.000  0.000  0.500

Density, record by record: 7.18, 7.28, 2.54, 4.40 g/cm3